# 1
First-principles (PBE-GGA) data for a relaxed structure of Pr2TmGe2, as listed in Alexandria. Values from VASP.

Values from the calculation:
As for the total moment: 0.000 μB per cell. The polymorph energy (0 for the lowest one) comes out at 57 meV per atom. Its space-group type is No. 12. Its electronic total energy is -53.741 eV for the cell shown. For the energy relative to the elements, the calculation gives -721 meV/atom.

Quantum ESPRESSO input file:
```
&SYSTEM
  ibrav = 0, nat = 10, ntyp = 3
/
ATOMIC_SPECIES
Pr 140.91 Pr.upf
Tm 168.93 Tm.upf
Ge 72.64 Ge.upf
CELL_PARAMETERS angstrom
6.268 -2.223 0.000
6.268 2.223 0.000
-4.918 0.000 9.690
ATOMIC_POSITIONS angstrom
Pr -0.728 0.000 1.812
Pr -0.652 0.000 5.725
Pr 8.270 0.000 3.965
Pr 8.347 0.000 7.877
Tm 2.810 0.000 1.296
Tm 4.808 0.000 8.394
Ge 0.164 0.000 9.106
Ge 3.094 0.000 5.920
Ge 4.524 0.000 3.770
Ge 7.454 0.000 0.583
```

# 2
First-principles (PBE-GGA) data for a relaxed structure of BeGaP, as listed in Alexandria. Values from VASP.

Values from the calculation:
As for the total moment: 0.000 μB per cell. The polymorph energy (0 for the lowest one) comes out at 0 meV per atom. Its space-group type is No. 129. Its electronic total energy is -25.397 eV for the cell shown. For the energy relative to the elements, the calculation gives -179 meV/atom.

Quantum ESPRESSO input file:
```
&SYSTEM
  ibrav = 0, nat = 6, ntyp = 3
/
ATOMIC_SPECIES
Be 9.01 Be.upf
Ga 69.72 Ga.upf
P 30.97 P.upf
CELL_PARAMETERS angstrom
3.567 0.000 0.000
0.000 3.567 0.000
0.000 0.000 8.182
ATOMIC_POSITIONS angstrom
Be 0.892 2.675 0.000
Be 2.675 0.892 0.000
Ga 0.892 0.892 3.595
Ga 2.675 2.675 4.586
P 0.892 0.892 1.237
P 2.675 2.675 6.944
```

# 3
First-principles (PBE-GGA) data for a relaxed structure of Ba2TlNiC, as listed in Alexandria. Values from VASP.

Values from the calculation:
As for the total moment: 0.000 μB per cell. Its space-group type is No. 123. Its electronic total energy is -21.009 eV for the cell shown. For the energy relative to the elements, the calculation gives 42 meV/atom.

Quantum ESPRESSO input file:
```
&SYSTEM
  ibrav = 0, nat = 5, ntyp = 4
/
ATOMIC_SPECIES
Ba 137.33 Ba.upf
Tl 204.38 Tl.upf
Ni 58.69 Ni.upf
C 12.01 C.upf
CELL_PARAMETERS angstrom
6.091 0.000 0.000
0.000 6.091 0.000
0.000 0.000 3.682
ATOMIC_POSITIONS angstrom
Ba 0.000 3.046 0.000
Ba 3.046 0.000 0.000
Tl 0.000 0.000 1.841
Ni 3.046 3.046 1.841
C 3.046 3.046 0.000
```

# 4
First-principles (PBE-GGA) data for a relaxed structure of Pr3SmDy4, as listed in Alexandria. Values from VASP.

Values from the calculation:
As for the total moment: 0.000 μB per cell. The polymorph energy (0 for the lowest one) comes out at 101 meV per atom. Its space-group type is No. 71. Its electronic total energy is -36.418 eV for the cell shown. For the energy relative to the elements, the calculation gives 131 meV/atom.

Quantum ESPRESSO input file:
```
&SYSTEM
  ibrav = 0, nat = 8, ntyp = 3
/
ATOMIC_SPECIES
Pr 140.91 Pr.upf
Sm 150.36 Sm.upf
Dy 162.50 Dy.upf
CELL_PARAMETERS angstrom
-1.743 5.881 6.601
1.743 -5.881 6.601
1.743 5.881 -6.601
ATOMIC_POSITIONS angstrom
Pr 0.000 0.000 0.000
Pr 1.743 0.000 3.405
Pr 0.000 5.881 3.196
Sm 0.000 0.000 6.601
Dy 1.743 2.970 -1.776
Dy 1.743 2.970 1.776
Dy 0.000 2.911 4.825
Dy 0.000 2.911 8.377
```

# 5
First-principles (PBE-GGA) data for a relaxed structure of YMoP2, as listed in Alexandria. Values from VASP.

Values from the calculation:
As for the total moment: 0.000 μB per cell. The polymorph energy (0 for the lowest one) comes out at 165 meV per atom. Its space-group type is No. 123. Its electronic total energy is -30.668 eV for the cell shown. For the energy relative to the elements, the calculation gives -638 meV/atom.

Quantum ESPRESSO input file:
```
&SYSTEM
  ibrav = 0, nat = 4, ntyp = 3
/
ATOMIC_SPECIES
Y 88.91 Y.upf
Mo 95.94 Mo.upf
P 30.97 P.upf
CELL_PARAMETERS angstrom
3.145 0.000 0.000
0.000 3.145 0.000
0.000 0.000 6.714
ATOMIC_POSITIONS angstrom
Y 0.000 0.000 0.000
Mo 0.000 0.000 3.357
P 1.573 1.573 1.973
P 1.573 1.573 4.741
```

# 6
First-principles (PBE-GGA) data for a relaxed structure of Ac3La5Se8, as listed in Alexandria. Values from VASP.

Values from the calculation:
As for the total moment: 0.001 μB per cell. The uncorrected formation energy is -3004.8 kJ/mol of formula units. Its space-group type is No. 166. Its electronic total energy is -95.982 eV for the cell shown.

Quantum ESPRESSO input file:
```
&SYSTEM
  ibrav = 0, nat = 16, ntyp = 3
/
ATOMIC_SPECIES
Ac 227.00 Ac.upf
La 138.91 La.upf
Se 78.96 Se.upf
CELL_PARAMETERS angstrom
4.372 2.524 7.145
-4.372 2.524 7.145
0.000 -5.048 7.145
ATOMIC_POSITIONS angstrom
Ac -2.186 -1.262 7.145
Ac -2.186 1.262 14.290
Ac 0.000 2.524 7.145
La 0.000 0.000 0.000
La -4.372 0.000 10.718
La -2.186 1.262 3.573
La 2.186 1.262 3.573
La 0.000 0.000 10.718
Se -2.214 -1.278 12.457
Se 0.000 0.000 5.286
Se 0.000 -2.557 8.979
Se -2.214 1.278 8.979
Se 2.214 -1.278 12.457
Se 0.000 2.557 12.457
Se 0.000 0.000 16.149
Se 2.214 1.278 8.979
```

# 7
First-principles (PBE-GGA) data for a relaxed structure of NaSr2Pt, as listed in Alexandria. Values from VASP.

Values from the calculation:
As for the total moment: 0.000 μB per cell. Its space-group type is No. 160. Its electronic total energy is -12.513 eV for the cell shown. For the energy relative to the elements, the calculation gives -447 meV/atom.

Quantum ESPRESSO input file:
```
&SYSTEM
  ibrav = 0, nat = 4, ntyp = 3
/
ATOMIC_SPECIES
Na 22.99 Na.upf
Sr 87.62 Sr.upf
Pt 195.08 Pt.upf
CELL_PARAMETERS angstrom
2.195 1.267 9.610
-2.195 1.267 9.610
0.000 -2.535 9.610
ATOMIC_POSITIONS angstrom
Na 0.000 0.000 0.000
Sr 0.000 0.000 6.452
Sr 0.000 0.000 12.827
Pt 0.000 0.000 24.061
```

Repeat the second record exactly.
First-principles (PBE-GGA) data for a relaxed structure of BeGaP, as listed in Alexandria. Values from VASP.

Values from the calculation:
As for the total moment: 0.000 μB per cell. The polymorph energy (0 for the lowest one) comes out at 0 meV per atom. Its space-group type is No. 129. Its electronic total energy is -25.397 eV for the cell shown. For the energy relative to the elements, the calculation gives -179 meV/atom.

Quantum ESPRESSO input file:
```
&SYSTEM
  ibrav = 0, nat = 6, ntyp = 3
/
ATOMIC_SPECIES
Be 9.01 Be.upf
Ga 69.72 Ga.upf
P 30.97 P.upf
CELL_PARAMETERS angstrom
3.567 0.000 0.000
0.000 3.567 0.000
0.000 0.000 8.182
ATOMIC_POSITIONS angstrom
Be 0.892 2.675 0.000
Be 2.675 0.892 0.000
Ga 0.892 0.892 3.595
Ga 2.675 2.675 4.586
P 0.892 0.892 1.237
P 2.675 2.675 6.944
```

Which of these has the highest electronic total energy? NaSr2Pt

Please write out number 4 again, unchanged.
First-principles (PBE-GGA) data for a relaxed structure of Pr3SmDy4, as listed in Alexandria. Values from VASP.

Values from the calculation:
As for the total moment: 0.000 μB per cell. The polymorph energy (0 for the lowest one) comes out at 101 meV per atom. Its space-group type is No. 71. Its electronic total energy is -36.418 eV for the cell shown. For the energy relative to the elements, the calculation gives 131 meV/atom.

Quantum ESPRESSO input file:
```
&SYSTEM
  ibrav = 0, nat = 8, ntyp = 3
/
ATOMIC_SPECIES
Pr 140.91 Pr.upf
Sm 150.36 Sm.upf
Dy 162.50 Dy.upf
CELL_PARAMETERS angstrom
-1.743 5.881 6.601
1.743 -5.881 6.601
1.743 5.881 -6.601
ATOMIC_POSITIONS angstrom
Pr 0.000 0.000 0.000
Pr 1.743 0.000 3.405
Pr 0.000 5.881 3.196
Sm 0.000 0.000 6.601
Dy 1.743 2.970 -1.776
Dy 1.743 2.970 1.776
Dy 0.000 2.911 4.825
Dy 0.000 2.911 8.377
```

Among the records above, which one has the highest electronic total energy? NaSr2Pt